Here is an optimized crystal structure of AcPrSbAs from Alexandria via LeMat-Bulk. Energies are from PBE-GGA.

a = 4.472 Å, b = 4.472 Å, c = 8.282 Å
α = 90.02°, β = 105.67°, γ = 120.00°
Element x y z (fractional)
1 Ac 0.297 0.546 0.859
2 Pr 0.974 0.385 0.374
3 Sb 0.142 0.969 0.127
4 As 0.464 0.130 0.610

Values from the calculation:
For the uncorrected formation energy, the calculation gives -448 kJ/mol of formula units. As for the volume: 136 Å³/cell. For the density of states at the Fermi level, the calculation gives 0.21 states/eV/cell. Its final energy is -5.575 eV per atom.